CrIn2SbO8 | GGA+U | optimized geometry

Cell: 4.8041 4.8041 6.3408 Å, 90.00 90.00 91.96°
With the nearest neighbours (Å) after each atom.
Fractional positions:
Cr  0.0000  0.0000  0.0000  6 O 1.83-1.98
In  0.5000  0.5000  0.2458  6 O 2.12-2.21
In  0.5000  0.5000  0.7542  6 O 2.12-2.21
Sb  0.0000  0.0000  0.5000  6 O 1.96-2.06
O  0.1804  0.8196  0.2417  1 Cr 1.98, 1 Sb 2.06, 1 In 2.21
O  0.1804  0.8196  0.7583  1 Cr 1.98, 1 Sb 2.06, 1 In 2.21
O  0.2743  0.2743  0.0000  1 Cr 1.83
O  0.2938  0.2938  0.5000  1 Sb 1.96, 2 In 2.12
O  0.7062  0.7062  0.5000  1 Sb 1.96, 2 In 2.12
O  0.7257  0.7257  0.0000  1 Cr 1.83
O  0.8196  0.1804  0.2417  1 Cr 1.98, 1 Sb 2.06, 1 In 2.21
O  0.8196  0.1804  0.7583  1 Cr 1.98, 1 Sb 2.06, 1 In 2.21

Its total DFT energy (no corrections) is -6.102 eV per atom. The calculation puts the volume at 146 Å³ per cell.